Computed, not measured: an optimized crystal structure of Tb14CeTh at the PBE-GGA level of DFT. Values from VASP.

Structure (Quantum ESPRESSO input):
```
&SYSTEM
  ibrav = 0, nat = 16, ntyp = 3
/
ATOMIC_SPECIES
Tb 158.93 Tb.upf
Ce 140.12 Ce.upf
Th 232.04 Th.upf
CELL_PARAMETERS angstrom
5.0323 -5.0359 0.0000
5.0323 5.0359 0.0000
0.0000 0.0000 10.0792
ATOMIC_POSITIONS angstrom
Tb 0.0000 0.0000 0.0000
Tb 2.5162 2.5179 0.0000
Tb 2.5162 2.5179 5.0396
Tb 2.5057 0.0000 2.5334
Tb 2.5057 0.0000 7.5458
Tb 5.0323 2.5284 2.5333
Tb 5.0323 2.5284 7.5458
Tb 2.5162 -2.5179 0.0000
Tb 2.5162 -2.5179 5.0396
Tb 5.0323 0.0000 0.0000
Tb 5.0323 -2.5284 2.5333
Tb 5.0323 -2.5284 7.5458
Tb 7.5589 0.0000 2.5334
Tb 7.5589 0.0000 7.5458
Ce 5.0323 0.0000 5.0396
Th 0.0000 0.0000 5.0396
```

Summary:
calculated formation energy: 0.562 eV per formula unit
VASP energy: -4.85 eV per atom

***

Computed, not measured: an optimized crystal structure of Tb2CeTh3 at the PBE-GGA level of DFT. Values from VASP.

Structure (Quantum ESPRESSO input):
```
&SYSTEM
  ibrav = 0, nat = 12, ntyp = 3
/
ATOMIC_SPECIES
Tb 158.93 Tb.upf
Ce 140.12 Ce.upf
Th 232.04 Th.upf
CELL_PARAMETERS angstrom
5.0959 -5.5890 0.0000
5.0959 5.5890 0.0000
0.0000 0.0000 6.7392
ATOMIC_POSITIONS angstrom
Tb 3.3851 3.0081 5.0544
Tb 6.8068 3.0081 5.0544
Tb 3.3851 -3.0081 1.6848
Tb 6.8068 -3.0081 1.6848
Ce 5.0959 2.5244 1.6848
Ce 5.0959 -2.5244 5.0544
Th 0.0000 0.0000 0.0000
Th 0.0000 0.0000 3.3696
Th 3.4307 0.0000 0.0000
Th 3.4307 0.0000 3.3696
Th 6.7612 0.0000 0.0000
Th 6.7612 0.0000 3.3696
```

Summary:
calculated formation energy: 1.223 eV per formula unit
VASP energy: -6.04 eV per atom

***

Computed, not measured: an optimized crystal structure of TbCe2Th at the PBE-GGA level of DFT. Values from VASP.

Structure (Quantum ESPRESSO input):
```
&SYSTEM
  ibrav = 0, nat = 4, ntyp = 3
/
ATOMIC_SPECIES
Tb 158.93 Tb.upf
Ce 140.12 Ce.upf
Th 232.04 Th.upf
CELL_PARAMETERS angstrom
4.8898 0.0000 0.0000
0.0000 4.8898 0.0000
0.0000 0.0000 4.9910
ATOMIC_POSITIONS angstrom
Tb 0.0000 0.0000 0.0000
Ce 0.0000 2.4449 2.4955
Ce 2.4449 0.0000 2.4955
Th 2.4449 2.4449 0.0000
```

Summary:
calculated formation energy: 0.344 eV per formula unit
excess energy over the best structure of this formula in the dataset: 0.028 eV per atom
VASP energy: -5.89 eV per atom

***

Computed, not measured: an optimized crystal structure of Tb4Ce2Th3 at the PBE-GGA level of DFT. Values from VASP.

Structure (Quantum ESPRESSO input):
```
&SYSTEM
  ibrav = 0, nat = 9, ntyp = 3
/
ATOMIC_SPECIES
Tb 158.93 Tb.upf
Ce 140.12 Ce.upf
Th 232.04 Th.upf
CELL_PARAMETERS angstrom
3.5076 0.0000 0.0000
-1.7538 3.0376 0.0000
0.0000 0.0000 26.6076
ATOMIC_POSITIONS angstrom
Tb 0.0000 0.0000 0.0000
Tb 0.0000 0.0000 5.8634
Tb 0.0000 2.0251 8.8009
Tb 0.0000 2.0251 14.7060
Ce 0.0000 0.0000 17.6133
Ce 0.0000 0.0000 23.3845
Th 0.0000 0.0000 11.7428
Th 0.0000 2.0251 2.8839
Th 0.0000 2.0251 20.4862
```

Summary:
calculated formation energy: 0.926 eV per formula unit
VASP energy: -5.75 eV per atom

***

Computed, not measured: an optimized crystal structure of TbCeThTl at the PBE-GGA level of DFT. Values from VASP.

Structure (Quantum ESPRESSO input):
```
&SYSTEM
  ibrav = 0, nat = 16, ntyp = 4
/
ATOMIC_SPECIES
Tb 158.93 Tb.upf
Ce 140.12 Ce.upf
Th 232.04 Th.upf
Tl 204.38 Tl.upf
CELL_PARAMETERS angstrom
7.7406 0.0000 0.0000
0.0000 7.7406 0.0000
0.0000 0.0000 7.7406
ATOMIC_POSITIONS angstrom
Tb 0.0000 0.0000 0.0000
Tb 0.0000 3.8703 3.8703
Tb 3.8703 0.0000 3.8703
Tb 3.8703 3.8703 0.0000
Ce 1.9351 1.9351 1.9351
Ce 1.9351 5.8054 5.8054
Ce 5.8054 1.9351 5.8054
Ce 5.8054 5.8054 1.9351
Th 0.0000 0.0000 3.8703
Th 0.0000 3.8703 0.0000
Th 3.8703 0.0000 0.0000
Th 3.8703 3.8703 3.8703
Tl 1.9351 1.9351 5.8054
Tl 1.9351 5.8054 1.9351
Tl 5.8054 1.9351 1.9351
Tl 5.8054 5.8054 5.8054
```

Summary:
calculated formation energy: 0.265 eV per formula unit
VASP energy: -5.02 eV per atom

***

Computed, not measured: an optimized crystal structure of TbCeTmTh at the PBE-GGA level of DFT. Values from VASP.

Structure (Quantum ESPRESSO input):
```
&SYSTEM
  ibrav = 0, nat = 16, ntyp = 4
/
ATOMIC_SPECIES
Tb 158.93 Tb.upf
Ce 140.12 Ce.upf
Tm 168.93 Tm.upf
Th 232.04 Th.upf
CELL_PARAMETERS angstrom
7.9622 0.0000 0.0000
0.0000 7.9622 0.0000
0.0000 0.0000 7.9622
ATOMIC_POSITIONS angstrom
Tb 0.0000 0.0000 0.0000
Tb 0.0000 3.9811 3.9811
Tb 3.9811 0.0000 3.9811
Tb 3.9811 3.9811 0.0000
Ce 1.9906 1.9906 5.9717
Ce 1.9906 5.9717 1.9906
Ce 5.9717 1.9906 1.9906
Ce 5.9717 5.9717 5.9717
Tm 1.9906 1.9906 1.9906
Tm 1.9906 5.9717 5.9717
Tm 5.9717 1.9906 5.9717
Tm 5.9717 5.9717 1.9906
Th 0.0000 0.0000 3.9811
Th 0.0000 3.9811 0.0000
Th 3.9811 0.0000 0.0000
Th 3.9811 3.9811 3.9811
```

Summary:
calculated formation energy: 0.885 eV per formula unit
excess energy over the best structure of this formula in the dataset: 0.195 eV per atom
VASP energy: -5.39 eV per atom

***

Computed, not measured: an optimized crystal structure of Tb2CeTmTh at the PBE-GGA level of DFT. Values from VASP.

Structure (Quantum ESPRESSO input):
```
&SYSTEM
  ibrav = 0, nat = 5, ntyp = 4
/
ATOMIC_SPECIES
Tb 158.93 Tb.upf
Ce 140.12 Ce.upf
Tm 168.93 Tm.upf
Th 232.04 Th.upf
CELL_PARAMETERS angstrom
3.4702 0.0000 0.0000
0.0000 5.5023 0.0000
0.0000 0.0000 8.7539
ATOMIC_POSITIONS angstrom
Tb 0.0000 0.0000 1.5708
Tb 0.0000 0.0000 7.1830
Ce 0.0000 2.7512 4.3769
Tm 1.7351 2.7512 0.0000
Th 1.7351 0.0000 4.3769
```

Summary:
calculated formation energy: 1.591 eV per formula unit
VASP energy: -5.10 eV per atom

***

Computed, not measured: an optimized crystal structure of TbCeTmTh at the PBE-GGA level of DFT. Values from VASP.

Structure (Quantum ESPRESSO input):
```
&SYSTEM
  ibrav = 0, nat = 12, ntyp = 4
/
ATOMIC_SPECIES
Tb 158.93 Tb.upf
Ce 140.12 Ce.upf
Tm 168.93 Tm.upf
Th 232.04 Th.upf
CELL_PARAMETERS angstrom
3.5379 0.0000 0.0000
-1.7689 3.0639 0.0000
0.0000 0.0000 34.0408
ATOMIC_POSITIONS angstrom
Tb 0.0000 0.0000 0.0000
Tb 0.0000 2.0426 22.6939
Tb 1.7689 1.0213 11.3469
Ce 0.0000 0.0000 5.7002
Ce 0.0000 2.0426 28.3941
Ce 1.7689 1.0213 17.0472
Tm 0.0000 0.0000 25.5640
Tm 0.0000 2.0426 14.2170
Tm 1.7689 1.0213 2.8701
Th 0.0000 0.0000 19.8188
Th 0.0000 2.0426 8.4718
Th 1.7689 1.0213 31.1657
```

Summary:
calculated formation energy: 0.105 eV per formula unit
excess energy over the best structure of this formula in the dataset: 0.000 eV per atom
VASP energy: -5.59 eV per atom

***

Computed, not measured: an optimized crystal structure of Tb6CeTm3Th2 at the PBE-GGA level of DFT. Values from VASP.

Structure (Quantum ESPRESSO input):
```
&SYSTEM
  ibrav = 0, nat = 12, ntyp = 4
/
ATOMIC_SPECIES
Tb 158.93 Tb.upf
Ce 140.12 Ce.upf
Tm 168.93 Tm.upf
Th 232.04 Th.upf
CELL_PARAMETERS angstrom
3.0674 -5.3098 0.0000
3.0674 5.3098 0.0000
-2.0480 0.0000 11.5410
ATOMIC_POSITIONS angstrom
Tb -0.0068 1.7738 8.6776
Tb 1.0192 0.0000 2.8663
Tb -0.0068 -1.7738 8.6776
Tb 4.0936 1.7738 2.8635
Tb 3.0676 0.0000 8.6747
Tb 4.0936 -1.7738 2.8635
Ce 3.0674 0.0000 0.0000
Tm -1.0240 0.0000 5.7705
Tm 2.0434 1.7709 5.7705
Tm 2.0434 -1.7709 5.7705
Th 3.0674 3.5403 0.0000
Th 3.0674 -3.5403 0.0000
```

Summary:
calculated formation energy: 0.443 eV per formula unit
VASP energy: -5.13 eV per atom

***

Computed, not measured: an optimized crystal structure of Tb6Ce2Y3Th at the PBE-GGA level of DFT. Values from VASP.

Structure (Quantum ESPRESSO input):
```
&SYSTEM
  ibrav = 0, nat = 12, ntyp = 4
/
ATOMIC_SPECIES
Tb 158.93 Tb.upf
Ce 140.12 Ce.upf
Y 88.91 Y.upf
Th 232.04 Th.upf
CELL_PARAMETERS angstrom
3.0740 -5.3234 0.0000
3.0740 5.3234 0.0000
-2.0530 0.0000 11.6042
ATOMIC_POSITIONS angstrom
Tb 1.0250 1.7697 2.8552
Tb -0.0131 0.0000 8.7500
Tb 1.0250 -1.7697 2.8552
Tb 3.0700 1.7697 8.7490
Tb 4.1080 0.0000 2.8542
Tb 3.0700 -1.7697 8.7490
Ce 3.0740 1.7747 0.0000
Ce 3.0740 -1.7747 0.0000
Y 2.0475 3.5473 5.8021
Y 2.0475 0.0000 5.8021
Y 2.0475 -3.5473 5.8021
Th 0.0000 0.0000 0.0000
```

Summary:
calculated formation energy: 0.532 eV per formula unit
VASP energy: -5.49 eV per atom

***

Computed, not measured: an optimized crystal structure of Tb3CeY6Th2 at the PBE-GGA level of DFT. Values from VASP.

Structure (Quantum ESPRESSO input):
```
&SYSTEM
  ibrav = 0, nat = 12, ntyp = 4
/
ATOMIC_SPECIES
Tb 158.93 Tb.upf
Ce 140.12 Ce.upf
Y 88.91 Y.upf
Th 232.04 Th.upf
CELL_PARAMETERS angstrom
3.0916 -5.3537 0.0000
3.0916 5.3537 0.0000
-2.0648 0.0000 11.5821
ATOMIC_POSITIONS angstrom
Tb 0.0000 0.0000 0.0000
Tb 3.0916 1.7865 0.0000
Tb 3.0916 -1.7865 0.0000
Ce 2.0592 0.0000 5.7910
Y 1.0240 1.7917 2.9420
Y -0.0094 0.0000 8.6431
Y 1.0240 -1.7917 2.9420
Y 3.0945 1.7917 8.6400
Y 4.1279 0.0000 2.9390
Y 3.0945 -1.7917 8.6400
Th 2.0592 3.5694 5.7910
Th 2.0592 -3.5694 5.7910
```

Summary:
calculated formation energy: 0.416 eV per formula unit
VASP energy: -6.09 eV per atom

***

Computed, not measured: an optimized crystal structure of TbCeTi at the PBE-GGA level of DFT. Values from VASP.

Structure (Quantum ESPRESSO input):
```
&SYSTEM
  ibrav = 0, nat = 12, ntyp = 3
/
ATOMIC_SPECIES
Tb 158.93 Tb.upf
Ce 140.12 Ce.upf
Ti 47.87 Ti.upf
CELL_PARAMETERS angstrom
5.9432 0.0000 0.0000
0.0000 8.1915 0.0000
0.0000 0.0000 6.2035
ATOMIC_POSITIONS angstrom
Tb 0.7335 1.4591 0.0000
Tb 2.2381 5.5548 0.0000
Tb 3.7051 2.6367 0.0000
Tb 5.2097 6.7324 0.0000
Ce 0.5207 6.8661 3.1018
Ce 2.4509 2.7703 3.1018
Ce 3.4923 5.4212 3.1018
Ce 5.4225 1.3254 3.1018
Ti 0.0000 4.0957 1.6555
Ti 0.0000 4.0957 4.5481
Ti 2.9716 0.0000 1.6555
Ti 2.9716 0.0000 4.5481
```

Summary:
calculated formation energy: 0.604 eV per formula unit
VASP energy: -5.95 eV per atom

***

What did the eighth record say?
Computed, not measured: an optimized crystal structure of TbCeTmTh at the PBE-GGA level of DFT. Values from VASP.

Structure (Quantum ESPRESSO input):
```
&SYSTEM
  ibrav = 0, nat = 12, ntyp = 4
/
ATOMIC_SPECIES
Tb 158.93 Tb.upf
Ce 140.12 Ce.upf
Tm 168.93 Tm.upf
Th 232.04 Th.upf
CELL_PARAMETERS angstrom
3.5379 0.0000 0.0000
-1.7689 3.0639 0.0000
0.0000 0.0000 34.0408
ATOMIC_POSITIONS angstrom
Tb 0.0000 0.0000 0.0000
Tb 0.0000 2.0426 22.6939
Tb 1.7689 1.0213 11.3469
Ce 0.0000 0.0000 5.7002
Ce 0.0000 2.0426 28.3941
Ce 1.7689 1.0213 17.0472
Tm 0.0000 0.0000 25.5640
Tm 0.0000 2.0426 14.2170
Tm 1.7689 1.0213 2.8701
Th 0.0000 0.0000 19.8188
Th 0.0000 2.0426 8.4718
Th 1.7689 1.0213 31.1657
```

Summary:
calculated formation energy: 0.105 eV per formula unit
excess energy over the best structure of this formula in the dataset: 0.000 eV per atom
VASP energy: -5.59 eV per atom

***

Among the records above, which one has the highest calculated formation energy?
Tb2CeTmTh